No. 1
Entry from Alexandria: a relaxed BeCrCl3 crystal (PBE).

Values from the calculation:
As for the crystal system: cubic. For the uncorrected formation energy, the calculation gives -0.390 eV per atom.

abc: 4.5350 4.5350 4.5350
angles: 90.00 90.00 90.00
Last column: nearest neighbours and their distance in Å.
Space group Pm-3m (No. 221)
Symmetry-distinct sites (fractional):
Be 0.0000 0.0000 0.0000  6 Cl 2.27
Cr 0.5000 0.5000 0.5000  12 Cl 3.21
Cl 0.0000 0.0000 0.5000  2 Be 2.27

No. 2
Entry from Alexandria: a relaxed Pm8Er2Mg crystal (PBE).

Values from the calculation:
The calculated formation energy is 11 meV/atom. As for the crystal system: monoclinic.

abc: 18.2715 5.0904 8.0286
angles: 90.00 105.36 90.00
Last column: nearest neighbours and their distance in Å.
Space group C2/m (No. 12)
Symmetry-distinct sites (fractional):
Pm 0.0461 0.0000 0.2234  1 Er 3.53, 9 Pm 3.54-3.62, 2 Mg 3.62
Pm 0.0911 0.5000 0.9489  1 Mg 3.55, 8 Pm 3.56-3.63, 3 Er 3.58-3.59
Pm 0.1370 0.0000 0.6826  3 Er 3.56-3.60, 7 Pm 3.56-3.62, 2 Mg 3.60
Pm 0.1818 0.5000 0.4101  8 Pm 3.58-3.63, 1 Mg 3.58, 3 Er 3.60
Er 0.2255 0.0000 0.1343  10 Pm 3.53-3.60, 2 Er 3.60
Mg 0.0000 0.5000 0.5000  12 Pm 3.55-3.62

No. 3
Entry from Alexandria: a relaxed Sm2NbAl2Ru5 crystal (PBE).

Values from the calculation:
The calculated formation energy is -379 meV/atom. As for the crystal system: tetragonal.

abc: 10.2250 10.2250 3.3089
angles: 90.00 90.00 90.00
Last column: nearest neighbours and their distance in Å.
Space group P4/mbm (No. 127)
Symmetry-distinct sites (fractional):
Sm 0.1723 0.3277 0.0000  3 Al 2.91-3.09, 10 Ru 2.99-3.22
Nb 0.0000 0.0000 0.0000  8 Ru 2.71
Al 0.1262 0.6262 0.0000  6 Ru 2.46-2.51
Ru 0.0000 0.5000 0.5000  4 Al 2.46
Ru 0.0658 0.8005 0.5000  2 Al 2.51, 2 Nb 2.71